DFT (PBE) results for an optimized crystal structure of LiDy6Au5.

Unit cell a=5.0398 b=8.8928 c=8.8928 alpha=120.63 beta=106.46 gamma=106.46
Atoms (fractional coordinates):
Au 0.5000 0.5000 0.5000
Au 0.0000 0.3293 0.6707
Au 0.5000 0.1468 0.8532
Au 0.5000 0.8532 0.1468
Au 0.0000 0.6707 0.3293
Dy 0.7478 0.5782 0.9173
Dy 0.7478 0.9173 0.5782
Dy 0.7597 0.2597 0.2597
Dy 0.2522 0.4218 0.0827
Dy 0.2522 0.0827 0.4218
Dy 0.2403 0.7403 0.7403
Li 0.0000 0.0000 0.0000

Formation enthalpy at 0 K ... -737.3 meV per atom
Space group ... Immm
Final energy ... -54.8 eV per formula unit



DFT (PBE) results for an optimized crystal structure of Sr2ZrPd.

Unit cell a=5.5640 b=5.5640 c=5.5640 alpha=60.00 beta=60.00 gamma=60.00
Site moments in Bohr magnetons follow the coordinates.
Atoms (fractional coordinates):
Pd 0.5000 0.5000 0.5000  0.05
Sr 0.7500 0.7500 0.7500  0.15
Sr 0.2500 0.2500 0.2500  0.15
Zr 0.0000 0.0000 0.0000  1.68

Polymorph energy (0 for the lowest one) ... 162 meV per atom
Formation enthalpy at 0 K ... 420.5 meV per atom
Space group ... Fm-3m
Final energy ... -15.4 eV per formula unit



DFT (PBE) results for an optimized crystal structure of TbHoErHg.

Unit cell a=5.3828 b=5.3828 c=5.3828 alpha=60.00 beta=60.00 gamma=60.00
Atoms (fractional coordinates):
Tb 0.0000 0.0000 0.0000
Hg 0.2500 0.2500 0.2500
Ho 0.5000 0.5000 0.5000
Er 0.7500 0.7500 0.7500

Formation enthalpy at 0 K ... -51.4 meV per atom
Space group ... F-43m
Final energy ... -14.3 eV per formula unit



DFT (PBE) results for an optimized crystal structure of Na3FeBr6.

Unit cell a=7.6233 b=9.7971 c=9.7971 alpha=104.33 beta=90.00 gamma=90.00
Site moments in Bohr magnetons follow the coordinates.
Atoms (fractional coordinates):
Br 0.6069 0.6355 0.6978  0.01
Br 0.2129 0.4375 0.8828  0.18
Br 0.2673 0.0666 0.9334  0.18
Br 0.3115 0.8103 0.1897  0.25
Br 0.8115 0.1897 0.8103  0.25
Br 0.7129 0.8828 0.4375  0.18
Br 0.7673 0.9334 0.0666  0.18
Br 0.1069 0.6978 0.6355  0.01
Br 0.6069 0.3022 0.3645  0.01
Br 0.1069 0.3645 0.3022  0.01
Br 0.2129 0.1172 0.5625  0.18
Br 0.7129 0.5625 0.1172  0.18
Na 0.8330 0.5543 0.4457  0.00
Na 0.4095 0.8688 0.6609  0.00
Na 0.3330 0.4457 0.5543  0.00
Na 0.4095 0.3391 0.1312  0.00
Na 0.9095 0.1312 0.3391  0.00
Na 0.9095 0.6609 0.8688  0.00
Fe 0.1149 0.2005 0.7995  3.67
Fe 0.6149 0.7995 0.2005  3.67

Polymorph energy (0 for the lowest one) ... 0 meV per atom
Space group ... Cmc2_1
Final energy ... -33.3 eV per formula unit
Formation energy without anion corrections ... -1087 meV/atom



Q: Which formula does entry 4 have?
A: Na3FeBr6